Entry 1:
First-principles (PBE-GGA) data for a geometry-optimized NdScCoNi structure, as listed in the Alexandria database.

## Properties
The value obtained for the total energy is -6.175 eV per atom. For the formation energy from the elements, the calculation gives -0.178 eV per atom.

CIF file:
```
data_NdScCoNi
_chemical_formula_sum 'Nd4 Sc4 Co4 Ni4'
_cell_length_a 6.640
_cell_length_b 6.640
_cell_length_c 6.640
_cell_angle_alpha 90.00
_cell_angle_beta 90.00
_cell_angle_gamma 90.00
_space_group_name_H-M_alt 'F -4 3 m'
_space_group_IT_number 216
_space_group_name_Hall 'F -4 2 3'
loop_
_atom_site_label
_atom_site_type_symbol
_atom_site_fract_x
_atom_site_fract_y
_atom_site_fract_z
Nd1 Nd 0.000 0.000 0.000
Sc1 Sc 0.000 0.000 0.500
Co1 Co 0.250 0.250 0.250
Ni1 Ni 0.250 0.250 0.750
```


Entry 2:
First-principles (PBE-GGA) data for a geometry-optimized InP2Pt2 structure, as listed in the Alexandria database.

## Properties
The value obtained for the total energy is -5.095 eV per atom. For the formation energy from the elements, the calculation gives 0.033 eV per atom.

CIF file:
```
data_InP2Pt2
_chemical_formula_sum 'In2 P4 Pt4'
_cell_length_a 7.720
_cell_length_b 7.720
_cell_length_c 2.920
_cell_angle_alpha 90.00
_cell_angle_beta 90.00
_cell_angle_gamma 90.00
_space_group_name_H-M_alt 'P 4/m b m'
_space_group_IT_number 127
_space_group_name_Hall '-P 4 2ab'
loop_
_atom_site_label
_atom_site_type_symbol
_atom_site_fract_x
_atom_site_fract_y
_atom_site_fract_z
In1 In 0.000 0.000 0.000
P1 P 0.137 0.363 0.500
Pt1 Pt 0.137 0.637 0.000
```


Entry 3:
First-principles (PBE-GGA) data for a geometry-optimized CeHoI structure, as listed in the Alexandria database.

## Properties
The value obtained for the total energy is -4.364 eV per atom. Its formation energy without anion corrections is -0.343 eV/atom.

CIF file:
```
data_CeHoI
_chemical_formula_sum 'Ce2 Ho2 I2'
_cell_length_a 3.658
_cell_length_b 3.658
_cell_length_c 14.082
_cell_angle_alpha 90.00
_cell_angle_beta 90.00
_cell_angle_gamma 90.00
_space_group_name_H-M_alt 'I 4 m m'
_space_group_IT_number 107
_space_group_name_Hall 'I 4 -2'
loop_
_atom_site_label
_atom_site_type_symbol
_atom_site_fract_x
_atom_site_fract_y
_atom_site_fract_z
Ce1 Ce 0.000 0.000 0.000
Ho1 Ho 0.000 0.000 0.324
I1 I 0.000 0.000 0.665
```


Entry 4:
First-principles (PBE-GGA) data for a geometry-optimized CdAgI structure, as listed in the Alexandria database.

## Properties
The value obtained for the total energy is -1.830 eV per atom. Its formation energy without anion corrections is -0.058 eV/atom.

CIF file:
```
data_CdAgI
_chemical_formula_sum 'Cd1 Ag1 I1'
_cell_length_a 4.0395
_cell_length_b 4.0395
_cell_length_c 5.9793
_cell_angle_alpha 90.00
_cell_angle_beta 90.00
_cell_angle_gamma 120.00
_space_group_name_H-M_alt 'P 3 m 1'
_space_group_IT_number 156
loop_
_space_group_symop_operation_xyz
'x,y,z'
'-y,x-y,z'
'-x+y,-x,z'
'-y,-x,z'
'-x+y,y,z'
'x,x-y,z'
loop_
_atom_site_label
_atom_site_type_symbol
_atom_site_fract_x
_atom_site_fract_y
_atom_site_fract_z
Cd1 Cd 0.0000 0.0000 0.0000
Ag1 Ag 0.6667 0.3333 0.2861
I1 I 0.3333 0.6667 0.6173
```


Entry 5:
First-principles (PBE-GGA) data for a geometry-optimized ZnS5 structure, as listed in the Alexandria database.

## Properties
The value obtained for the total energy is -3.686 eV per atom. Its formation energy without anion corrections is -0.034 eV/atom.

CIF file:
```
data_ZnS5
_chemical_formula_sum 'Zn2 S10'
_cell_length_a 4.082
_cell_length_b 7.112
_cell_length_c 11.746
_cell_angle_alpha 75.29
_cell_angle_beta 89.26
_cell_angle_gamma 84.88
_space_group_name_H-M_alt 'P -1'
_space_group_IT_number 2
loop_
_space_group_symop_operation_xyz
'x,y,z'
'-x,-y,-z'
loop_
_atom_site_label
_atom_site_type_symbol
_atom_site_fract_x
_atom_site_fract_y
_atom_site_fract_z
Zn1 Zn 0.175 0.099 0.256
S1 S 0.118 0.432 0.216
S2 S 0.173 0.518 0.930
S3 S 0.280 0.054 0.793
S4 S 0.335 0.885 0.454
S5 S 0.336 0.256 0.633
```


Entry 6:
First-principles (PBE-GGA) data for a geometry-optimized Dy3ErAg2 structure, as listed in the Alexandria database.

## Properties
The value obtained for the total energy is -4.211 eV per atom. For the formation energy from the elements, the calculation gives -0.199 eV per atom.

CIF file:
```
data_Dy3ErAg2
_chemical_formula_sum 'Dy3 Er1 Ag2'
_cell_length_a 3.611
_cell_length_b 3.611
_cell_length_c 12.225
_cell_angle_alpha 90.00
_cell_angle_beta 90.00
_cell_angle_gamma 90.00
_space_group_name_H-M_alt 'P 4/m m m'
_space_group_IT_number 123
_space_group_name_Hall '-P 4 2'
loop_
_atom_site_label
_atom_site_type_symbol
_atom_site_fract_x
_atom_site_fract_y
_atom_site_fract_z
Dy1 Dy 0.000 0.000 0.000
Dy2 Dy 0.000 0.000 0.300
Er1 Er 0.500 0.500 0.500
Ag1 Ag 0.500 0.500 0.150
```